Record 1
4
Lattice="7.4518 -0.0212 -0.0127 6.5794 3.4986 -0.0127 6.5794 1.6306 3.0954" Properties=species:S:1:pos:R:3 comment="BeAs2Pb (PBE-GGA, optimized geometry)" total_energy_ev_per_atom=-4.064 pbc="T T T"
Pb 15.4580 3.8310 2.3024
Be 5.1527 1.2770 0.7675
As 20.0153 4.9605 2.9812
As 10.9006 2.7015 1.6236

=====

Record 2
5
Lattice="4.6403 0.0000 0.0000 0.0000 4.6403 0.0000 0.0000 0.0000 4.6403" Properties=species:S:1:pos:R:3 comment="Be3AsPb (PBE-GGA, optimized geometry)" total_energy_ev_per_atom=-2.542 relative_energy_kcal_per_mol_atoms=13.57 pbc="T T T"
Pb 0.0000 0.0000 0.0000
Be 0.0000 2.3201 0.0000
Be 0.0000 0.0000 2.3201
Be 2.3201 0.0000 0.0000
As 2.3201 2.3201 2.3201

=====

Record 3
6
Lattice="3.5246 0.0000 0.0000 0.0000 3.5246 0.0000 -1.7623 -1.7623 10.1384" Properties=species:S:1:pos:R:3 comment="BeAsPb (PBE-GGA, optimized geometry)" total_energy_ev_per_atom=-3.897 relative_energy_kcal_per_mol_atoms=3.05 pbc="T T T"
As 0.0000 0.0000 1.5333
As 1.7623 1.7623 8.6052
Be 0.0000 1.7623 0.0000
Be 1.7623 0.0000 0.0000
Pb 1.7623 1.7623 3.8457
Pb 0.0000 0.0000 6.2927

=====

Record 4
3
Lattice="-2.8251 2.0592 1.4574 0.0711 -3.7514 0.5167 2.7306 0.6536 4.3697" Properties=species:S:1:pos:R:3 comment="BeAsPb (PBE-GGA, optimized geometry)" total_energy_ev_per_atom=-4.027 relative_energy_kcal_per_mol_atoms=0.05 pbc="T T T"
Pb -0.0706 0.5506 4.0069
Be -0.3703 -1.6891 1.6688
As 0.4174 0.0999 0.6680

=====

Record 5
5
Lattice="3.5423 0.0000 0.0000 0.0000 3.5423 0.0000 0.0000 0.0000 7.3867" Properties=species:S:1:pos:R:3 comment="Be2As2Pb (PBE-GGA, optimized geometry)" total_energy_ev_per_atom=-3.959 relative_energy_kcal_per_mol_atoms=3.77 pbc="T T T"
Be 1.7712 0.0000 3.6934
Be 0.0000 1.7712 3.6934
As 1.7712 1.7712 5.2392
As 1.7712 1.7712 2.1475
Pb 0.0000 0.0000 0.0000

=====

Record 6
4
Lattice="3.6420 0.0000 0.0000 0.0000 3.6420 0.0000 0.0000 0.0000 6.6779" Properties=species:S:1:pos:R:3 comment="BeAs2Pb (PBE-GGA, optimized geometry)" total_energy_ev_per_atom=-3.892 pbc="T T T"
Pb 1.8210 1.8210 5.3461
Be 0.0000 0.0000 2.1841
As 0.0000 0.0000 6.6199
As 1.8210 1.8210 2.5448

=====

Record 7
4
Lattice="-3.2078 -0.0247 0.2271 1.1417 -3.0052 0.0861 0.6015 0.4734 8.5473" Properties=species:S:1:pos:R:3 comment="BeAs2Pb (PBE-GGA, optimized geometry)" total_energy_ev_per_atom=-3.930 pbc="T T T"
Pb -0.5819 -1.1599 6.5671
Be -0.8827 -1.3966 2.2934
As 0.0504 0.0397 0.7168
As 0.2503 0.1970 3.5569

=====

Record 8
4
Lattice="-3.0116 2.4656 4.2500 0.4033 -3.3416 4.6779 3.0476 3.2201 -3.6817" Properties=species:S:1:pos:R:3 comment="BeAs2Pb (PBE-GGA, optimized geometry)" total_energy_ev_per_atom=-3.975 pbc="T T T"
Pb 1.0734 -0.2797 2.7301
Be -0.6341 2.6239 2.5162
As -2.3278 -0.7818 7.9680
As -1.5846 -0.5322 5.4240

=====

Record 9
3
Lattice="-3.5588 -2.6418 -0.8374 0.4571 -4.4869 0.0647 -1.8549 -2.4081 3.3325" Properties=species:S:1:pos:R:3 comment="BeAsPb (PBE-GGA, optimized geometry)" total_energy_ev_per_atom=-3.632 relative_energy_kcal_per_mol_atoms=9.18 pbc="T T T"
Pb 0.0000 0.0000 0.0000
Be -3.7175 -7.1526 1.9198
As -2.4783 -4.7684 1.2799

=====

Record 10
5
Lattice="4.4289 0.0000 0.0000 0.0000 4.4289 0.0000 0.0000 0.0000 4.4289" Properties=species:S:1:pos:R:3 comment="Be3AsPb (PBE-GGA, optimized geometry)" total_energy_ev_per_atom=-3.130 relative_energy_kcal_per_mol_atoms=0.00 pbc="T T T"
Pb 2.2144 2.2144 2.2144
Be 0.0000 2.2144 0.0000
Be 0.0000 0.0000 2.2144
Be 2.2144 0.0000 0.0000
As 0.0000 0.0000 0.0000

=====

Record 11
4
Lattice="-0.4310 -3.0056 -1.8432 3.3845 -1.0596 0.9365 -2.5236 -3.0882 5.6257" Properties=species:S:1:pos:R:3 comment="BeAs2Pb (PBE-GGA, optimized geometry)" total_energy_ev_per_atom=-3.856 pbc="T T T"
Pb -0.2354 -4.1279 3.3635
Be -1.1286 -1.3811 2.5160
As -0.3139 -0.3842 0.6998
As 0.8461 -2.8044 0.9526

=====

Record 12
4
Lattice="-0.7036 3.6702 0.5481 -0.7325 1.2840 3.4757 6.0609 2.7605 2.3096" Properties=species:S:1:pos:R:3 comment="BeAs2Pb (PBE-GGA, optimized geometry)" total_energy_ev_per_atom=-4.028 pbc="T T T"
Be 5.0945 6.0618 4.9908
As 5.0547 2.5899 2.1606
As 0.5904 1.8327 1.4996
Pb 2.2583 3.8482 3.1587